[1]
Here is crystalline PtRh at its relaxed geometry from the Alexandria database. Energies are from PBE.

a b c (Å): 2.760 2.760 4.548
angles (deg): 90.00 90.00 120.00
Fractional coordinates of all 2 atoms:
1 Pt 0.000 0.000 0.000
2 Rh 0.333 0.667 0.500

Results
**DOS(E_F)**: 4.40 states/eV/cell
**Calculated formation energy**: 0.0552 eV/atom
**E_tot**: -6.641 eV/atom
**Symmetry**: P-6m2 (187)

***

[2]
Here is crystalline PtRh at its relaxed geometry from the Alexandria database. Energies are from PBE.

a b c (Å): 6.082 6.082 6.082
angles (deg): 95.75 95.75 143.08
Fractional coordinates of all 8 atoms:
1 Pt 0.162 0.162 0.323
2 Pt 0.162 0.838 0.000
3 Pt 0.838 0.162 0.000
4 Pt 0.838 0.838 0.677
5 Rh 0.165 0.500 0.665
6 Rh 0.500 0.165 0.665
7 Rh 0.500 0.835 0.335
8 Rh 0.835 0.500 0.335

Results
**DOS(E_F)**: 15.53 states/eV/cell
**Calculated formation energy**: 0.1505 eV/atom
**E_tot**: -6.546 eV/atom
**Symmetry**: I4/mmm (139)

***

[3]
Here is crystalline PtRh3 at its relaxed geometry from the Alexandria database. Energies are from PBE.

a b c (Å): 3.873 3.873 3.873
angles (deg): 90.00 90.00 90.00
Fractional coordinates of all 4 atoms:
1 Pt 0.000 0.000 0.000
2 Rh 0.000 0.500 0.500
3 Rh 0.500 0.000 0.500
4 Rh 0.500 0.500 0.000

Results
**DOS(E_F)**: 6.45 states/eV/cell
**Calculated formation energy**: -0.0170 eV/atom
**E_tot**: -7.041 eV/atom
**Symmetry**: Pm-3m (221)

***

[4]
Here is crystalline PtRh at its relaxed geometry from the Alexandria database. Energies are from PBE.

a b c (Å): 2.733 4.680 5.221
angles (deg): 81.08 74.91 73.13
Fractional coordinates of all 4 atoms:
1 Pt 0.072 0.218 0.141
2 Pt 0.928 0.782 0.859
3 Rh 0.312 0.267 0.609
4 Rh 0.688 0.733 0.391

Results
**DOS(E_F)**: 7.45 states/eV/cell
**Calculated formation energy**: 0.0890 eV/atom
**E_tot**: -6.607 eV/atom
**Symmetry**: P-1 (2)

***

[5]
Here is crystalline PtRh5 at its relaxed geometry from the Alexandria database. Energies are from PBE.

a b c (Å): 2.732 2.732 11.586
angles (deg): 90.00 90.00 90.00
Fractional coordinates of all 6 atoms:
1 Pt 0.000 0.000 0.000
2 Rh 0.000 0.000 0.335
3 Rh 0.000 0.000 0.665
4 Rh 0.500 0.500 0.172
5 Rh 0.500 0.500 0.500
6 Rh 0.500 0.500 0.828

Results
**DOS(E_F)**: 8.40 states/eV/cell
**Calculated formation energy**: -0.0075 eV/atom
**E_tot**: -7.141 eV/atom
**Relative energy among the computed polymorphs**: 5.1 meV per atom
**Symmetry**: P4/mmm (123)

***

[6]
Here is crystalline Pt3Rh at its relaxed geometry from the Alexandria database. Energies are from PBE.

a b c (Å): 3.375 3.375 5.445
angles (deg): 90.00 90.00 90.00
Fractional coordinates of all 4 atoms:
1 Pt 0.000 0.000 0.000
2 Pt 0.500 0.500 0.254
3 Pt 0.500 0.500 0.746
4 Rh 0.000 0.000 0.500

Results
**DOS(E_F)**: 4.33 states/eV/cell
**Calculated formation energy**: 0.0198 eV/atom
**E_tot**: -6.349 eV/atom
**Symmetry**: P4/mmm (123)

***

[7]
Here is crystalline PtRh at its relaxed geometry from the Alexandria database. Energies are from PBE.

a b c (Å): 6.703 6.703 6.703
angles (deg): 109.47 109.47 109.47
Fractional coordinates of all 8 atoms:
1 Pt 0.000 0.000 0.323
2 Pt 0.000 0.323 0.000
3 Pt 0.323 0.000 0.000
4 Pt 0.677 0.677 0.677
5 Rh 0.000 0.000 0.686
6 Rh 0.000 0.686 0.000
7 Rh 0.314 0.314 0.314
8 Rh 0.686 0.000 0.000

Results
**DOS(E_F)**: 11.60 states/eV/cell
**Calculated formation energy**: 1.1350 eV/atom
**E_tot**: -5.561 eV/atom
**Symmetry**: I-43m (217)

***

[8]
Here is crystalline PtRh at its relaxed geometry from the Alexandria database. Energies are from PBE.

a b c (Å): 4.360 4.360 7.960
angles (deg): 90.00 90.00 120.00
Fractional coordinates of all 8 atoms:
1 Pt 0.000 0.000 0.250
2 Pt 0.000 0.000 0.750
3 Pt 0.333 0.667 0.250
4 Pt 0.667 0.333 0.750
5 Rh 0.333 0.667 0.585
6 Rh 0.333 0.667 0.915
7 Rh 0.667 0.333 0.085
8 Rh 0.667 0.333 0.415

Results
**DOS(E_F)**: 18.32 states/eV/cell
**Calculated formation energy**: 0.3475 eV/atom
**E_tot**: -6.349 eV/atom
**Symmetry**: P6_3/mmc (194)

***

Question: Which of these has the highest calculated formation energy?
Answer: number 7

***

Question: The lowest E_tot belongs to which entry?
Answer: PtRh5